A relaxed structure of KNa12Hg6. Source: Alexandria via LeMat-Bulk, functional GGA-PBE.

Cell and atoms, written as POSCAR:
```
KNa12Hg6
1.0
5.834 3.368 4.909
-5.834 3.368 4.909
0.000 -6.736 4.909
K Na Hg
1 12 6
Cartesian
0.000 0.000 0.000
-2.125 0.343 2.840
0.766 -2.012 2.840
-2.280 -0.575 6.124
1.360 1.669 2.840
-0.642 -2.262 8.603
1.638 -1.687 6.124
-1.638 1.687 8.603
0.642 2.262 6.124
-1.360 -1.669 11.887
2.280 0.575 8.603
-0.766 2.012 11.887
2.125 -0.343 11.887
-0.890 -3.494 5.461
-2.581 2.518 5.461
-3.471 -0.976 9.266
3.471 0.976 5.461
2.581 -2.518 9.266
0.890 3.494 9.266
```

Properties
ΔE to the lowest computed polymorph in eV per atom: 0.000
Total magnetization in μB per cell: 0.0
Formation energy in eV/atom: -0.139


A relaxed structure of K8Na3Hg2. Source: Alexandria via LeMat-Bulk, functional GGA-PBE.

Cell and atoms, written as POSCAR:
```
K8Na3Hg2
1.0
11.113 -5.228 0.000
11.113 5.228 0.000
-0.145 0.000 5.837
K Na Hg
8 3 2
Cartesian
7.222 3.027 1.492
1.490 0.000 1.559
7.486 0.000 4.475
14.859 3.027 4.344
7.222 -3.027 1.492
14.595 0.000 1.362
20.591 0.000 4.278
14.859 -3.027 4.344
11.113 1.885 0.000
11.040 0.000 2.918
11.113 -1.885 0.000
5.087 0.000 1.455
16.994 0.000 4.382
```

Properties
Total magnetization in μB per cell: 0.0
Formation energy in eV/atom: -0.044